An optimized crystal structure of Zr2ZnCd, computed with PBE.

Its space group is Pmmm, No. 47. The value obtained for the density of states at the Fermi level is 2.88 states/eV per cell. The distance to the lowest polymorph of the same formula is 0.50 kcal/mol of atoms. For the volume, the calculation gives 20.24 Å³ per atom.

abc: 2.9688 4.0780 6.6883
angles: 90.00 90.00 90.00
With the nearest neighbours (Å) after each atom.
Fractional coordinates of all 4 atoms:
Cd1 0.5000 0.5000 0.2500  2 Cd 2.97, 8 Zr 3.09
Zn1 0.5000 0.5000 0.7500  8 Zr 2.96, 2 Zn 2.97
Zr1 0.0000 0.0000 0.5182  4 Zn 2.96, 3 Zr 2.97-3.10, 4 Cd 3.09
Zr2 0.0000 0.0000 0.9818  4 Zn 2.96, 3 Zr 2.97-3.10, 4 Cd 3.09